# LiTmAg2 (PBE, optimized geometry)
data_LiTmAg2
_cell_length_a 4.916
_cell_length_b 4.916
_cell_length_c 3.429
_cell_angle_alpha 90.00
_cell_angle_beta 90.00
_cell_angle_gamma 90.00
_symmetry_space_group_name_H-M 'P 1'
_symmetry_Int_Tables_number 1
loop_
_symmetry_equiv_pos_as_xyz
'x,y,z'
loop_
_atom_site_label
_atom_site_fract_x
_atom_site_fract_y
_atom_site_fract_z
Li1 0.000 0.000 0.000
Tm1 0.500 0.500 0.000
Ag1 0.000 0.500 0.500
Ag2 0.500 0.000 0.500
# DFT formation energy: -183 meV per atom
# Magnetic moment: 0.0 μB per cell
# Energy above the most stable polymorph in this dataset: 58.9 meV/atom
# Density of states at the Fermi level: 0.404 states/eV/atom